VASP calculation (PBE) on a relaxed structure of Tm4Se2S5.

Cell: 8.783 8.783 10.083 Å, 105.49 105.49 24.95°
Atoms (fractional coordinates):
Tm: 0.005 0.005 0.187
Tm: 0.342 0.342 0.407
Tm: 0.658 0.658 0.593
Tm: 0.995 0.995 0.813
Se: 0.177 0.177 0.338
Se: 0.823 0.823 0.662
S: 0.049 0.049 0.455
S: 0.139 0.139 0.776
S: 0.500 0.500 0.000
S: 0.861 0.861 0.224
S: 0.951 0.951 0.545

Properties
Crystal system   monoclinic
ΔE_f (raw)   -1.47 eV per atom

---

VASP calculation (PBE) on a relaxed structure of Mn4AgAs.

Cell: 4.908 4.908 4.908 Å, 60.00 60.00 60.00°
Atoms (fractional coordinates):
Mn: 0.125 0.125 0.125
Mn: 0.125 0.125 0.626
Mn: 0.125 0.626 0.125
Mn: 0.626 0.125 0.125
Ag: 0.500 0.500 0.500
As: 0.750 0.750 0.750

Properties
DFT formation energy   0.48 eV/atom
Crystal system   cubic

---

VASP calculation (PBE) on a relaxed structure of Y2Mg.

Cell: 6.645 6.645 6.645 Å, 53.78 53.78 53.78°
Atoms (fractional coordinates):
Y: 0.000 0.000 0.000
Y: 0.174 0.500 0.826
Y: 0.500 0.826 0.174
Y: 0.826 0.174 0.500
Mg: 0.333 0.333 0.333
Mg: 0.667 0.667 0.667

Properties
DFT formation energy   0.04 eV/atom
Crystal system   trigonal

---

VASP calculation (PBE) on a relaxed structure of Er3FePb.

Cell: 8.619 3.612 8.663 Å, 90.00 105.19 90.00°
Atoms (fractional coordinates):
Er: 0.066 0.250 0.304
Er: 0.271 0.250 0.931
Er: 0.406 0.750 0.292
Er: 0.594 0.250 0.708
Er: 0.729 0.750 0.069
Er: 0.934 0.750 0.696
Fe: 0.079 0.750 0.054
Fe: 0.921 0.250 0.946
Pb: 0.271 0.750 0.603
Pb: 0.729 0.250 0.397

Properties
DFT formation energy   -0.24 eV/atom
Crystal system   monoclinic

---

Volume values, unit Å³ per cell, following the record order: 315.6 83.6 177.3 260.3.
Total magnetic moment values, unit μB per formula unit, following the record order: 0.0 8.3 0.0 1.2.